# Pm6DyY, optimized geometry, DFT PBE
data_Pm6DyY
_chemical_formula_sum 'Pm6 Dy1 Y1'
_cell_length_a 5.1304
_cell_length_b 5.1304
_cell_length_c 10.2543
_cell_angle_alpha 90.00
_cell_angle_beta 90.00
_cell_angle_gamma 90.00
_symmetry_space_group_name_H-M 'P 1'
_symmetry_Int_Tables_number 1
_symmetry_space_group_name_Hall 'P 1'
loop_
_atom_site_label
_atom_site_type_symbol
_atom_site_fract_x
_atom_site_fract_y
_atom_site_fract_z
_atom_site_occupancy
Dy1 Dy 0.0000 0.0000 0.0000 1
Y1 Y 0.0000 0.0000 0.5000 1
Pm1 Pm 0.5000 0.5000 0.5000 1
Pm2 Pm 0.5000 0.0000 0.7507 1
Pm3 Pm 0.0000 0.5000 0.7507 1
Pm4 Pm 0.5000 0.5000 0.0000 1
Pm5 Pm 0.5000 0.0000 0.2493 1
Pm6 Pm 0.0000 0.5000 0.2493 1
# E_tot = -39.443 eV/f.u.
# V = 270 Å³ per cell
# Space group = No. 123
# Spin magnetization = 0.0 μB/f.u.

# Pm8DyY5, optimized geometry, DFT PBE
data_Pm8DyY5
_chemical_formula_sum 'Pm8 Dy1 Y5'
_cell_length_a 8.5769
_cell_length_b 8.5769
_cell_length_c 8.5769
_cell_angle_alpha 111.06
_cell_angle_beta 111.06
_cell_angle_gamma 106.33
_symmetry_space_group_name_H-M 'P 1'
_symmetry_Int_Tables_number 1
_symmetry_space_group_name_Hall 'P 1'
loop_
_atom_site_label
_atom_site_type_symbol
_atom_site_fract_x
_atom_site_fract_y
_atom_site_fract_z
_atom_site_occupancy
Y1 Y 0.8702 0.9646 0.6854 1
Y2 Y 0.8151 0.1298 0.0944 1
Y3 Y 0.5000 0.5000 0.0000 1
Y4 Y 0.2793 0.1849 0.3146 1
Y5 Y 0.0354 0.7207 0.9056 1
Pm1 Pm 0.5276 0.9239 0.2603 1
Pm2 Pm 0.1615 0.4308 0.0871 1
Pm3 Pm 0.0761 0.3364 0.6037 1
Pm4 Pm 0.9255 0.8385 0.2693 1
Pm5 Pm 0.5692 0.6562 0.7307 1
Pm6 Pm 0.3438 0.0745 0.9129 1
Pm7 Pm 0.7327 0.4724 0.3963 1
Pm8 Pm 0.6636 0.2673 0.7397 1
Dy1 Dy 0.2500 0.7500 0.5000 1
# E_tot = -71.322 eV/f.u.
# V = 485 Å³ per cell
# Space group = No. 82
# Spin magnetization = 0.0 μB/f.u.

# PmDy12Y6, optimized geometry, DFT PBE
data_PmDy12Y6
_chemical_formula_sum 'Pm1 Dy12 Y6'
_cell_length_a 8.6969
_cell_length_b 8.6969
_cell_length_c 8.6969
_cell_angle_alpha 98.55
_cell_angle_beta 98.55
_cell_angle_gamma 98.55
_symmetry_space_group_name_H-M 'P 1'
_symmetry_Int_Tables_number 1
_symmetry_space_group_name_Hall 'P 1'
loop_
_atom_site_label
_atom_site_type_symbol
_atom_site_fract_x
_atom_site_fract_y
_atom_site_fract_z
_atom_site_occupancy
Y1 Y 0.8975 0.8975 0.3421 1
Y2 Y 0.1025 0.1025 0.6579 1
Y3 Y 0.8975 0.3421 0.8975 1
Y4 Y 0.3421 0.8975 0.8975 1
Y5 Y 0.1025 0.6579 0.1025 1
Y6 Y 0.6579 0.1025 0.1025 1
Dy1 Dy 0.5000 0.7567 0.2433 1
Dy2 Dy 0.5000 0.2433 0.7567 1
Dy3 Dy 0.9192 0.6444 0.6444 1
Dy4 Dy 0.3556 0.3556 0.0808 1
Dy5 Dy 0.6444 0.9192 0.6444 1
Dy6 Dy 0.3556 0.0808 0.3556 1
Dy7 Dy 0.0808 0.3556 0.3556 1
Dy8 Dy 0.2433 0.7567 0.5000 1
Dy9 Dy 0.6444 0.6444 0.9192 1
Dy10 Dy 0.2433 0.5000 0.7567 1
Dy11 Dy 0.7567 0.2433 0.5000 1
Dy12 Dy 0.7567 0.5000 0.2433 1
Pm1 Pm 0.0000 0.0000 0.0000 1
# E_tot = -94.714 eV/f.u.
# V = 633 Å³ per cell
# Space group = No. 166
# Spin magnetization = 0.0 μB/f.u.

no.,energy of formation (eV/atom)
1,0.016
2,0.258
3,0.213